{
  "formula": "NdSmN",
  "functional": "PBE",
  "state": "relaxed",
  "lattice": [[-2.709, -3.350, -0.844], [1.232, -4.109, 0.936], [-1.911, -2.165, 3.307]],
  "species": ["Sm", "N", "Nd"],
  "frac_coords": [[0.000, 0.000, 0.000], [0.250, 0.250, 0.250], [0.500, 0.500, 0.500]],
  "e_form_raw_kj_per_mol_atoms": -31.5,
  "de_polymorph_mev_per_atom": 558.1,
  "dft_energy_ev_per_atom": -6.264,
  "n_ef_per_ev_fu": 1.03
}